[1]
A plane-wave DFT calculation with PBE was carried out for an optimized crystal structure of YErZr.

Cell lengths 7.7066, 7.7066, 7.7066 Å; angles 154.48, 154.48, 36.40 degrees
Last column: nearest neighbours and their distance in Å.
Atoms (fractional coordinates):
Y: 0.0000 0.0000 0.0000  4 Zr 3.34, 4 Y 3.40, 4 Er 3.66
Er: 0.6883 0.6883 0.0000  4 Zr 3.29, 4 Er 3.40, 4 Y 3.66
Zr: 0.3418 0.3418 0.0000  4 Er 3.29, 4 Y 3.34, 4 Zr 3.40

**E_form**: 0.076 eV/atom
**Space group**: No. 107
**ΔE to the lowest computed polymorph**: 0 meV per atom
**Mass density**: 6.800 g cm⁻³

***

[2]
A plane-wave DFT calculation with PBE was carried out for an optimized crystal structure of Yb3Er.

Cell lengths 7.2490, 7.2490, 5.9067 Å; angles 90.00, 90.00, 120.00 degrees
Last column: nearest neighbours and their distance in Å.
Atoms (fractional coordinates):
Yb: 0.1692 0.3385 0.2500  8 Yb 3.57-3.68, 4 Er 3.60-3.62
Yb: 0.1692 0.8308 0.2500  8 Yb 3.57-3.68, 4 Er 3.60-3.62
Yb: 0.3385 0.1692 0.7500  8 Yb 3.57-3.68, 4 Er 3.60-3.62
Yb: 0.6615 0.8308 0.2500  8 Yb 3.57-3.68, 4 Er 3.60-3.62
Yb: 0.8308 0.1692 0.7500  8 Yb 3.57-3.68, 4 Er 3.60-3.62
Yb: 0.8308 0.6615 0.7500  8 Yb 3.57-3.68, 4 Er 3.60-3.62
Er: 0.3333 0.6667 0.7500  12 Yb 3.60-3.62
Er: 0.6667 0.3333 0.2500  12 Yb 3.60-3.62

**E_form**: -0.064 eV/atom
**Space group**: No. 194
**Mass density**: 8.480 g cm⁻³

***

[3]
A plane-wave DFT calculation with PBE was carried out for an optimized crystal structure of YbEr3.

Cell lengths 6.1207, 6.1207, 6.1207 Å; angles 131.93, 131.93, 70.34 degrees
Last column: nearest neighbours and their distance in Å.
Atoms (fractional coordinates):
Yb: 0.0000 0.0000 0.0000  12 Er 3.53
Er: 0.2500 0.7500 0.5000  8 Er 3.53, 4 Yb 3.53
Er: 0.5000 0.5000 0.0000  4 Yb 3.53, 8 Er 3.53
Er: 0.7500 0.2500 0.5000  8 Er 3.53, 4 Yb 3.53

**E_form**: 0.027 eV/atom
**Space group**: No. 139
**Mass density**: 9.010 g cm⁻³

***

> Among the records above, which one has the highest mass density?

YbEr3